Entry from Alexandria: an optimized crystal structure of TbYZn4 (PBE).

Lattice parameters (Å, degrees): 4.4843 5.6987 5.6987 76.63 66.83 66.83
Positions (direct):
Tb: 0.0000 0.5000 0.5000
Y: 0.0000 0.0000 0.0000
Zn: 0.6665 0.5812 0.0857
Zn: 0.3335 0.9143 0.4188
Zn: 0.3335 0.4188 0.9143
Zn: 0.6665 0.0857 0.5812

Results
The distance to the lowest polymorph of the same formula comes out at 0.0 meV/atom. The calculation puts the total magnetization at 0.00 μB/cell.



Entry from Alexandria: an optimized crystal structure of MnGa2Ni (PBE).

Lattice parameters (Å, degrees): 4.1519 4.1519 4.1519 60.00 60.00 60.00
Positions (direct):
Ni: 0.5000 0.5000 0.5000
Mn: 0.0000 0.0000 0.0000
Ga: 0.2500 0.2500 0.2500
Ga: 0.7500 0.7500 0.7500

Results
For the energy, the calculation gives -5.374 eV per atom. The calculation puts the total magnetization at 0.60 μB/cell.